*A*
## Pr3Sm6Y (PBE)

Data for an optimized crystal structure of Pr3Sm6Y.

## Properties
* density of states at the Fermi level: 52.62 states/eV/cell
* M_tot: 0.000 μB per cell

Cell: 10.9897 19.3210 6.5306 Å, 90.00 90.00 90.00°
With the nearest neighbours (Å) after each atom.
Space group Cmc2_1 (No. 36)
Inequivalent atoms, fractional coordinates:
Pr 0.0000 0.1136 0.0000 x4  7 Sm 3.51-3.88, 2 Pr 3.63, 1 Y 3.85
Pr 0.1762 0.3839 0.6112 x8  1 Y 3.32, 6 Sm 3.32-3.57, 1 Pr 3.63
Sm 0.0000 0.2250 0.4249 x4  4 Sm 3.18-3.49, 1 Y 3.44, 1 Pr 3.51
Sm 0.0000 0.4677 0.2242 x4  1 Y 3.43, 2 Sm 3.50, 4 Pr 3.54-3.57
Sm 0.1717 0.0441 0.5235 x8  3 Pr 3.46-3.59, 5 Sm 3.50-3.85
Sm 0.2316 0.2099 0.7141 x8  3 Sm 3.18-3.50, 2 Pr 3.32-3.48, 1 Y 3.39
Y 0.0000 0.3128 0.9669 x4  2 Pr 3.32, 6 Sm 3.39-3.63

***

*B*
## Pr3Sm6Y (PBE)

Data for an optimized crystal structure of Pr3Sm6Y.

## Properties
* density of states at the Fermi level: 33.32 states/eV/cell
* M_tot: 0.000 μB per cell

Cell: 11.6222 7.0592 8.8634 Å, 90.00 102.47 90.00°
With the nearest neighbours (Å) after each atom.
Space group C2/m (No. 12)
Inequivalent atoms, fractional coordinates:
Pr 0.0000 0.0000 0.0000 x2  4 Sm 3.55, 4 Pr 3.86
Pr 0.0346 0.5000 0.8387 x4  1 Pr 3.13, 3 Sm 3.24-3.33
Sm 0.1647 0.5000 0.4931 x4  2 Pr 3.33-3.70, 4 Sm 3.38-3.44
Sm 0.2459 0.2718 0.1889 x8  4 Sm 3.22-3.44, 3 Pr 3.24-3.60
Y 0.0000 0.0000 0.5000 x2  10 Sm 3.88-4.02

***

Computed energies relative to the best structure, in meV/atom: *A* 0; *B* 124

***

*A*
## Pr2SmY (PBE)

Data for an optimized crystal structure of Pr2SmY.

## Properties
* density of states at the Fermi level: 22.06 states/eV/cell
* M_tot: 0.016 μB per cell

Cell: 3.5692 3.5692 38.1087 Å, 90.00 90.00 120.00°
With the nearest neighbours (Å) after each atom.
Space group R-3m (No. 166, hexagonal axes)
Inequivalent atoms, fractional coordinates:
Pr 0.0000 0.0000 0.0883 x6  1 Y 3.37, 6 Pr 3.57, 3 Sm 3.63
Sm 0.0000 0.0000 0.5000 x3  6 Sm 3.57, 6 Pr 3.63
Y 0.0000 0.0000 0.0000 x3  2 Pr 3.37, 6 Y 3.57

***

*B*
## Pr2SmY (PBE)

Data for an optimized crystal structure of Pr2SmY.

## Properties
* density of states at the Fermi level: 6.41 states/eV/cell
* M_tot: 0.000 μB per cell

Cell: 5.1843 5.1843 5.1439 Å, 90.00 90.00 90.00°
With the nearest neighbours (Å) after each atom.
Space group P4/mmm (No. 123)
Inequivalent atoms, fractional coordinates:
Pr 0.0000 0.5000 0.0000 x2  4 Y 3.65, 4 Sm 3.65, 4 Pr 3.67
Sm 0.0000 0.0000 0.5000 x1  8 Pr 3.65, 4 Y 3.67
Y 0.5000 0.5000 0.5000 x1  8 Pr 3.65, 4 Sm 3.67

***

*C*
## Pr2SmY (PBE)

Data for an optimized crystal structure of Pr2SmY.

## Properties
* density of states at the Fermi level: 32.25 states/eV/cell
* M_tot: 0.000 μB per cell

Cell: 8.2187 8.2187 8.2187 Å, 90.00 90.00 90.00°
With the nearest neighbours (Å) after each atom.
Space group Fm-3m (No. 225)
Inequivalent atoms, fractional coordinates:
Pr 0.2500 0.2500 0.2500 x8  4 Sm 3.56, 4 Y 3.56
Sm 0.0000 0.0000 0.0000 x4  8 Pr 3.56
Y 0.0000 0.0000 0.5000 x4  8 Pr 3.56

***

*D*
## Pr2SmY (PBE)

Data for an optimized crystal structure of Pr2SmY.

## Properties
* density of states at the Fermi level: 12.06 states/eV/cell
* M_tot: 0.000 μB per cell

Cell: 5.7148 3.6042 13.4836 Å, 90.00 90.00 90.00°
With the nearest neighbours (Å) after each atom.
Space group Amm2 (No. 38)
Inequivalent atoms, fractional coordinates:
Pr 0.0000 0.0000 0.0000 x2  4 Pr 3.32-3.60, 1 Y 3.48
Pr 0.5000 0.0000 0.1250 x2  4 Pr 3.32-3.60, 1 Sm 3.45
Sm 0.5000 0.0000 0.3805 x2  7 Pr 3.45-3.76, 2 Sm 3.60
Y 0.0000 0.0000 0.7416 x2  7 Pr 3.48-3.73, 2 Y 3.60, 4 Sm 3.86

***

Computed energies relative to the best structure, in meV/atom: *A* 161; *B* 0; *C* 98; *D* 37

***

*A*
## Pr12Sm5Y2 (PBE)

Data for an optimized crystal structure of Pr12Sm5Y2.

## Properties
* density of states at the Fermi level: 63.74 states/eV/cell
* M_tot: 0.000 μB per cell

Cell: 19.4141 7.6117 10.2127 Å, 90.00 115.97 90.00°
With the nearest neighbours (Å) after each atom.
Space group C2/m (No. 12)
Inequivalent atoms, fractional coordinates:
Pr 0.0073 0.0000 0.2150 x4  1 Sm 2.98, 2 Y 3.12
Pr 0.0079 0.5000 0.3293 x4  5 Pr 3.41-3.63, 2 Y 3.64
Pr 0.1594 0.2493 0.8501 x8  6 Pr 3.51-3.82, 4 Sm 3.68-3.90
Pr 0.1653 0.2398 0.4986 x8  5 Pr 3.28-3.65
Sm 0.0000 0.0000 0.5000 x2  2 Pr 2.98
Sm 0.1761 0.0000 0.1715 x4  7 Pr 3.50-3.89, 2 Sm 3.81, 2 Y 3.83
Sm 0.1792 0.5000 0.1976 x4  2 Y 3.52, 8 Pr 3.72-3.90, 2 Sm 3.81
Y 0.0000 0.2983 0.0000 x4  1 Y 3.07, 2 Pr 3.12

***

*B*
## Pr12Sm5Y2 (PBE)

Data for an optimized crystal structure of Pr12Sm5Y2.

## Properties
* density of states at the Fermi level: 55.17 states/eV/cell
* M_tot: 0.000 μB per cell

Cell: 15.8636 10.5755 8.1303 Å, 90.00 92.42 90.00°
With the nearest neighbours (Å) after each atom.
Space group C2/m (No. 12)
Inequivalent atoms, fractional coordinates:
Pr 0.0520 0.0000 0.2103 x4  3 Sm 3.38-3.70, 7 Pr 3.53-3.73, 2 Y 3.63
Pr 0.1061 0.2251 0.8887 x8  4 Sm 3.49-3.70, 1 Y 3.52, 6 Pr 3.53-3.89
Pr 0.1425 0.5000 0.6133 x4  2 Sm 3.36-3.70, 2 Y 3.60, 4 Pr 3.64-3.73
Pr 0.1890 0.2729 0.2939 x8  1 Y 3.51, 5 Pr 3.53-3.83, 4 Sm 3.59-3.84
Sm 0.0000 0.5000 0.0000 x2  4 Pr 3.50, 2 Sm 3.88
Sm 0.1522 0.0000 0.5856 x4  7 Pr 3.38-3.70, 2 Y 3.60
Sm 0.2442 0.5000 0.9839 x4  8 Pr 3.36-3.70
Y 0.0000 0.2465 0.5000 x4  8 Pr 3.51-3.63, 2 Sm 3.60

***

Computed energies relative to the best structure, in meV/atom: *A* 44; *B* 0